Material: MgCdSb4
Method: DFT, GGA-PBEsol
State: relaxed

Lattice parameters (Å, degrees): 6.1838 6.1838 6.1838 60.00 60.00 60.00
Last column: nearest neighbours and their distance in Å.
Positions (direct):
1 Cd 0.7500 0.7500 0.7500  12 Sb 3.62, 4 Mg 3.79
2 Mg 0.0000 0.0000 0.0000  12 Sb 3.63, 4 Cd 3.79
3 Sb 0.3755 0.3755 0.3755  6 Sb 3.08-3.11
4 Sb 0.3755 0.3755 0.8734  6 Sb 3.08-3.11
5 Sb 0.8734 0.3755 0.3755  6 Sb 3.08-3.11
6 Sb 0.3755 0.8734 0.3755  6 Sb 3.08-3.11

Calculated values
Magnetic moment = 0.00 μB/cell
Formation energy without anion corrections = 240 meV per atom

=====

Material: MgCd2Sb
Method: DFT, GGA-PBEsol
State: relaxed

Lattice parameters (Å, degrees): 3.2462 3.2462 8.5849 90.00 90.00 89.97
Last column: nearest neighbours and their distance in Å.
Positions (direct):
1 Sb 0.5000 0.5000 0.2617  4 Mg 3.15, 4 Sb 3.25, 4 Cd 3.33
2 Mg 0.0000 0.0000 0.5128  4 Cd 3.04, 4 Sb 3.15, 4 Mg 3.25
3 Cd 0.0000 0.0000 0.9801  8 Cd 3.05-3.25, 4 Sb 3.33
4 Cd 0.5000 0.5000 0.7453  4 Mg 3.04, 8 Cd 3.05-3.25

Calculated values
Magnetic moment = 0.00 μB/cell
Formation energy without anion corrections = -25 meV per atom